1.
A geometry-optimized KMo2Os structure, computed with PBE.

Output
* DFT formation energy: 862.4 meV per atom

a = 4.0163 Å, b = 2.7807 Å, c = 8.3601 Å
α = 76.25°, β = 90.00°, γ = 90.00°
Closest atoms and distances in Å follow each position.
Sites, in units of the cell vectors:
K 0.5000 0.9202 0.7366  2 K 2.78
Mo 0.0000 0.8381 0.0948  1 Os 2.46
Mo 0.5000 0.1508 0.2715  4 Os 2.60-2.69, 4 Mo 2.75-2.78
Os 0.0000 0.5909 0.3971  5 Mo 2.46-2.69

=====

2.
A geometry-optimized TlPt2Pb structure, computed with PBE.

Output
* DFT formation energy: 85.0 meV per atom

a = 5.5125 Å, b = 5.5125 Å, c = 5.5125 Å
α = 135.23°, β = 135.23°, γ = 65.17°
Closest atoms and distances in Å follow each position.
Sites, in units of the cell vectors:
Pb 0.7500 0.2500 0.5000  8 Pt 2.97-3.13, 4 Tl 3.13
Pt 0.0000 0.0000 0.0000  4 Tl 2.97, 4 Pb 3.13, 4 Pt 3.13
Pt 0.2500 0.7500 0.5000  4 Pb 2.97, 4 Tl 3.13, 4 Pt 3.13
Tl 0.5000 0.5000 0.0000  8 Pt 2.97-3.13, 4 Pb 3.13

=====

3.
A geometry-optimized SiTc2Te structure, computed with PBE.

Output
* E_form (uncorrected): 0.318 eV per atom

a = 4.9809 Å, b = 4.9809 Å, c = 4.9809 Å
α = 140.57°, β = 119.96°, γ = 74.23°
Closest atoms and distances in Å follow each position.
Sites, in units of the cell vectors:
Si 0.7500 0.2500 0.5000  4 Tc 2.37
Tc 0.9611 0.9611 0.0000  2 Si 2.37
Tc 0.5389 0.5389 0.0000  2 Si 2.37
Te 0.2500 0.7500 0.5000  8 Tc 2.84-3.00, 4 Si 3.01

=====

What did we get for N(E_F)? Answer: 4.45 1.48 3.87 states/eV/cell, in the order shown.